HoU4O10: optimized geometry, PBE.

a b c (Å): 6.6026 6.6026 6.6026
angles (deg): 99.59 99.59 131.81
Positions (direct):
Ho: 0.0000 0.0000 0.0000
U: 0.2012 0.3988 0.6000
U: 0.3988 0.7988 0.1976
U: 0.6012 0.2012 0.8024
U: 0.7988 0.6012 0.4000
O: 0.0494 0.3523 0.8975
O: 0.1519 0.0494 0.6971
O: 0.2500 0.7500 0.5000
O: 0.3523 0.4548 0.3029
O: 0.4548 0.1519 0.1025
O: 0.5452 0.8481 0.8975
O: 0.6477 0.5452 0.6971
O: 0.7500 0.2500 0.5000
O: 0.8481 0.9506 0.3029
O: 0.9506 0.6477 0.1025

Calculated values
M_tot = 7.00 Bohr magnetons per cell
SG = I4/m
uncorrected formation energy = -3372 meV/atom
uncorrected energy = -149.89 eV per cell